# 1
Crystalline Sr4Tb at its relaxed geometry, computed with GGA-PBE.

Results
E_tot	-8.55	eV/cell

Unit cell a=6.581 b=6.581 c=6.581 alpha=90.00 beta=90.00 gamma=90.00
Space group Pm-3m (No. 221)
Symmetry-distinct sites (fractional):
Sr: 0.000 0.000 0.000 (multiplicity 1)
Sr: 0.000 0.500 0.500 (multiplicity 3)
Tb: 0.500 0.500 0.500 (multiplicity 1)



# 2
Crystalline Li2BrO at its relaxed geometry, computed with GGA-PBE.

Results
ΔE_f (raw)	-0.711	eV per atom
excess energy over the best structure of this formula in the dataset	49.41	kJ per mole of atoms

Unit cell a=4.721 b=4.721 c=3.363 alpha=90.00 beta=90.00 gamma=90.00
Space group P4/mmm (No. 123)
Symmetry-distinct sites (fractional):
Li: 0.000 0.500 0.000 (multiplicity 2)
Br: 0.000 0.000 0.000 (multiplicity 1)
O: 0.500 0.500 0.500 (multiplicity 1)



# 3
Crystalline Rb3Pm2CdSe6 at its relaxed geometry, computed with GGA-PBE.

Results
ΔE_f (raw)	-1.316	eV per atom

Unit cell a=7.439 b=12.877 c=8.451 alpha=90.00 beta=107.04 gamma=90.00
Space group C2/m (No. 12)
Symmetry-distinct sites (fractional):
Rb: 0.000 0.000 0.000 (multiplicity 2)
Rb: 0.000 0.334 0.000 (multiplicity 4)
Pm: 0.000 0.167 0.500 (multiplicity 4)
Cd: 0.000 0.500 0.500 (multiplicity 2)
Se: 0.232 0.334 0.699 (multiplicity 8)
Se: 0.235 0.000 0.699 (multiplicity 4)